Record 1
Ho6Sb2PbSe3: relaxed, GGA-PBE.

```
Ho6Sb2PbSe3
1.0
9.2117 -2.1216 0.0000
9.2117 2.1216 0.0000
-1.8800 0.0000 8.2396
Ho Sb Pb Se
6 2 1 3
Direct
0.0027 0.0027 0.2445
0.3314 0.3314 0.4230
0.3351 0.3351 0.9115
0.6649 0.6649 0.0885
0.6686 0.6686 0.5770
0.9973 0.9973 0.7555
0.1666 0.1666 0.8333
0.8334 0.8334 0.1667
0.5000 0.5000 0.5000
0.1677 0.1677 0.3325
0.5000 0.5000 0.0000
0.8323 0.8323 0.6675
```

Properties
Its energy relative to the elements, uncorrected is -1.311 eV/atom.

Record 2
Ho4SbPbSe2: relaxed, GGA-PBE.

```
Ho4SbPbSe2
1.0
7.3219 0.0000 0.0000
0.0000 4.2518 0.0000
-2.4602 0.0000 6.9320
Ho Sb Pb Se
4 1 1 2
Direct
0.2409 0.0000 0.2476
0.2417 0.5000 0.7464
0.7583 0.5000 0.2536
0.7591 0.0000 0.7524
0.5000 0.0000 0.0000
0.5000 0.5000 0.5000
0.0000 0.0000 0.5000
0.0000 0.5000 0.0000
```

Properties
Its energy relative to the elements, uncorrected is -1.258 eV/atom.

Record 3
Ho6Sb3PbSe2: relaxed, GGA-PBE.

```
Ho6Sb3PbSe2
1.0
9.3164 -2.1405 0.0000
9.3164 2.1405 0.0000
-1.9487 0.0000 8.3768
Ho Sb Pb Se
6 3 1 2
Direct
0.0041 0.0041 0.2536
0.3313 0.3313 0.4197
0.3319 0.3319 0.9114
0.6681 0.6681 0.0886
0.6687 0.6687 0.5803
0.9959 0.9959 0.7464
0.1658 0.1658 0.8310
0.5000 0.5000 0.5000
0.8342 0.8342 0.1690
0.5000 0.5000 0.0000
0.1693 0.1693 0.3381
0.8307 0.8307 0.6619
```

Properties
Its energy relative to the elements, uncorrected is -1.212 eV/atom.

For each record above, in turn, the calculated Fermi-level density of states values are 0.363; 0.232; 0.231 states/eV/atom.